Entry 1:
Computed, not measured: a relaxed Sr4TmRu3O12 crystal at the PBE level of DFT.

Properties
Calculated volume in Å³/atom: 13.37
E in eV/atom: -6.99

Lattice parameters (Å, degrees): 7.0299 7.0299 7.0299 109.47 109.47 109.47
Last column: nearest neighbours and their distance in Å.
Fractional positions:
Sr: 0.5000 0.5000 0.5000  12 O 2.87
Sr: 0.0000 0.0000 0.5000  12 O 2.87
Sr: 0.5000 0.0000 0.0000  12 O 2.87
Sr: 0.0000 0.5000 0.0000  12 O 2.87
Tm: 0.0000 0.0000 0.0000  6 O 2.12
Ru: 0.5000 0.0000 0.5000  6 O 1.94-2.03
Ru: 0.5000 0.5000 0.0000  6 O 1.94-2.03
Ru: 0.0000 0.5000 0.5000  6 O 1.94-2.03
O: 0.2500 0.5000 0.7500  2 Ru 2.03
O: 0.7385 0.0000 0.7385  1 Ru 1.94, 1 Tm 2.12
O: 0.2615 0.0000 0.2615  1 Ru 1.94, 1 Tm 2.12
O: 0.7500 0.5000 0.2500  2 Ru 2.03
O: 0.7385 0.7385 0.0000  1 Ru 1.94, 1 Tm 2.12
O: 0.2615 0.2615 0.0000  1 Ru 1.94, 1 Tm 2.12
O: 0.7500 0.2500 0.5000  2 Ru 2.03
O: 0.2500 0.7500 0.5000  2 Ru 2.03
O: 0.5000 0.2500 0.7500  2 Ru 2.03
O: 0.0000 0.7385 0.7385  1 Ru 1.94, 1 Tm 2.12
O: 0.5000 0.7500 0.2500  2 Ru 2.03
O: 0.0000 0.2615 0.2615  1 Ru 1.94, 1 Tm 2.12

=====

Entry 2:
Computed, not measured: a relaxed Sr2TmRu3O12 crystal at the PBE level of DFT.

Properties
Calculated volume in Å³/atom: 13.23
E in eV/atom: -6.88

Lattice parameters (Å, degrees): 6.6554 6.6554 6.6554 66.62 66.62 66.62
Last column: nearest neighbours and their distance in Å.
Fractional positions:
Sr: 0.6149 0.6149 0.6149  3 O 2.43
Sr: 0.3851 0.3851 0.3851  3 O 2.43
Tm: 0.0000 0.0000 0.0000  6 O 2.40
Ru: 0.5000 0.0000 0.0000  6 O 1.89-1.95
Ru: 0.0000 0.5000 0.0000  6 O 1.89-1.95
Ru: 0.0000 0.0000 0.5000  6 O 1.89-1.95
O: 0.2825 0.2825 0.8863  2 Ru 1.95
O: 0.8634 0.8634 0.4073  1 Ru 1.89
O: 0.4073 0.8634 0.8634  1 Ru 1.89
O: 0.8863 0.2825 0.2825  2 Ru 1.95
O: 0.8634 0.4073 0.8634  1 Ru 1.89
O: 0.2825 0.8863 0.2825  2 Ru 1.95
O: 0.7175 0.7175 0.1137  2 Ru 1.95
O: 0.1366 0.1366 0.5927  1 Ru 1.89
O: 0.5927 0.1366 0.1366  1 Ru 1.89
O: 0.1137 0.7175 0.7175  2 Ru 1.95
O: 0.1366 0.5927 0.1366  1 Ru 1.89
O: 0.7175 0.1137 0.7175  2 Ru 1.95

=====

Entry 3:
Computed, not measured: a relaxed Sr2URuO8 crystal at the PBE level of DFT.

Properties
Calculated volume in Å³/atom: 15.78
E in eV/atom: -7.56

Lattice parameters (Å, degrees): 5.3106 5.3075 6.7224 89.87 90.13 91.46
Last column: nearest neighbours and their distance in Å.
Fractional positions:
Sr: 0.5005 0.4997 0.7564  6 O 2.44-2.51
Sr: 0.4995 0.5003 0.2436  6 O 2.44-2.51
U: 0.0000 0.0000 0.5000  6 O 1.97-2.18
Ru: 0.0000 0.0000 0.0000  2 O 1.81
O: 0.1696 0.8295 0.2390  1 Ru 2.06, 1 U 2.18
O: 0.7553 0.7564 0.0001  1 Ru 1.81
O: 0.8303 0.1709 0.2377  1 Ru 2.06, 1 U 2.18
O: 0.8304 0.1705 0.7610  1 Ru 2.06, 1 U 2.18
O: 0.2447 0.2436 0.9999  1 Ru 1.81
O: 0.1697 0.8291 0.7623  1 Ru 2.06, 1 U 2.18
O: 0.7334 0.7344 0.4999  1 U 1.97
O: 0.2666 0.2656 0.5001  1 U 1.97

=====

Entry 4:
Computed, not measured: a relaxed SrURuO6 crystal at the PBE level of DFT.

Properties
Calculated volume in Å³/atom: 14.41
E in eV/atom: -8.05

Lattice parameters (Å, degrees): 5.0786 5.0786 10.0552 90.00 90.00 90.00
Last column: nearest neighbours and their distance in Å.
Fractional positions:
Sr: 0.5000 0.5000 0.5050  6 O 2.39-2.53
Sr: 0.0000 0.0000 0.0050  6 O 2.39-2.53
U: 0.5000 0.5000 0.1676  6 O 2.10-2.13
U: 0.0000 0.0000 0.6676  6 O 2.10-2.13
Ru: 0.5000 0.5000 0.8318  6 O 2.02-2.04
Ru: 0.0000 0.0000 0.3318  6 O 2.02-2.04
O: 0.1681 0.8319 0.4936  1 Ru 2.03, 1 U 2.13
O: 0.8319 0.1681 0.4936  1 Ru 2.03, 1 U 2.13
O: 0.3319 0.3319 0.9936  1 Ru 2.03, 1 U 2.13
O: 0.6681 0.6681 0.9936  1 Ru 2.03, 1 U 2.13
O: 0.2104 0.7896 0.1959  1 Ru 2.04, 1 U 2.10
O: 0.7896 0.2104 0.1959  1 Ru 2.04, 1 U 2.10
O: 0.2895 0.2895 0.6959  1 Ru 2.04, 1 U 2.10
O: 0.7104 0.7104 0.6959  1 Ru 2.04, 1 U 2.10
O: 0.7798 0.2202 0.8083  1 Ru 2.02, 1 U 2.12
O: 0.2202 0.7798 0.8083  1 Ru 2.02, 1 U 2.12
O: 0.7202 0.7202 0.3083  1 Ru 2.02, 1 U 2.12
O: 0.2798 0.2798 0.3083  1 Ru 2.02, 1 U 2.12